Below is crystalline ZnTcSb2Te at its relaxed geometry, with properties calculated at the GGA-PBE level.

Cell: 5.1343 5.1343 5.2902 Å, 90.00 90.00 90.00°
Space group P4/mmm (No. 123)
One atom of each set of equivalent atoms:
Zn 0.0000 0.0000 0.0000 x1
Tc 0.5000 0.5000 0.5000 x1
Sb 0.0000 0.5000 0.0000 x2
Te 0.0000 0.0000 0.5000 x1

Volume   27.9 Å³ per atom
Total magnetization   3.27 μB per formula unit
Energy   -3.44 eV/atom
ΔE_f (raw)   1164 meV/atom
ρ   6.36 g cm⁻³
Energy above the lowest structure with this stoichiometry   621 meV/atom
Crystal system   tetragonal

Below is crystalline PmY2Er2Sc at its relaxed geometry, with properties calculated at the GGA-PBE level.

Cell: 6.8834 5.5625 9.6062 Å, 90.00 90.00 90.00°
Space group Pmma (No. 51)
One atom of each set of equivalent atoms:
Pm 0.0000 0.0000 0.0000 x2
Y 0.0000 0.5000 0.5000 x2
Y 0.2500 0.0000 0.3386 x2
Er 0.2500 0.0000 0.6733 x2
Er 0.2500 0.5000 0.1624 x2
Sc 0.2500 0.5000 0.8292 x2

Volume   30.7 Å³ per atom
Total magnetization   0.00 μB per formula unit
Energy   -5.44 eV/atom
ρ   6.34 g cm⁻³
Crystal system   orthorhombic
Formation energy   0.078 eV/atom

Below is crystalline TbPr12Nd5 at its relaxed geometry, with properties calculated at the GGA-PBE level.

Cell: 15.6762 15.6906 5.2323 Å, 90.00 90.00 90.00°
Space group Cmmm (No. 65)
One atom of each set of equivalent atoms:
Tb 0.0000 0.0000 0.0000 x2
Pr 0.0000 0.1650 0.5000 x4
Pr 0.0000 0.3333 0.0000 x4
Pr 0.1662 0.1656 0.0000 x8
Pr 0.1667 0.3336 0.5000 x8
Nd 0.0000 0.5000 0.5000 x2
Nd 0.1658 0.0000 0.5000 x4
Nd 0.1667 0.5000 0.0000 x4

Volume   35.7 Å³ per atom
Total magnetization   0.00 μB per formula unit
Energy   -4.76 eV/atom
ρ   6.63 g cm⁻³
Crystal system   orthorhombic
Formation energy   0.012 eV/atom

Below is crystalline BaIn2Cu at its relaxed geometry, with properties calculated at the GGA-PBE level.

Cell: 3.9271 4.6104 6.8318 Å, 90.00 106.49 90.00°
Space group Pm (No. 6)
One atom of each set of equivalent atoms:
Ba 0.0000 0.0000 0.0000 x1
In 0.3098 0.5000 0.6235 x1
In 0.7267 0.0000 0.4572 x1
Cu 0.6333 0.5000 0.2742 x1

Volume   29.7 Å³ per atom
Total magnetization   0.00 μB per formula unit
Energy   -2.97 eV/atom
ρ   6.03 g cm⁻³
Crystal system   monoclinic
Formation energy   -0.101 eV/atom

Below is crystalline UTl2Te4 at its relaxed geometry, with properties calculated at the GGA-PBE level.

Cell: 5.8429 5.8429 17.1499 Å, 90.00 90.00 90.00°
Space group I4/mmm (No. 139)
One atom of each set of equivalent atoms:
U 0.0000 0.0000 0.0000 x2
Tl 0.0000 0.0000 0.3637 x4
Te 0.0000 0.0000 0.1662 x4
Te 0.0000 0.5000 0.0000 x4

Volume   41.8 Å³ per atom
Total magnetization   0.13 μB per formula unit
Energy   -4.39 eV/atom
ΔE_f (raw)   -310 meV/atom
ρ   6.56 g cm⁻³
Crystal system   tetragonal

Below is crystalline AlTlHg at its relaxed geometry, with properties calculated at the GGA-PBE level.

Cell: 3.3080 3.3080 14.1110 Å, 90.00 90.00 90.00°
Space group P4/nmm (No. 129, origin choice 2)
One atom of each set of equivalent atoms:
Al 0.2500 0.2500 0.0536 x2
Tl 0.2500 0.2500 0.7865 x2
Hg 0.2500 0.2500 0.4104 x2

Volume   25.7 Å³ per atom
Total magnetization   0.00 μB per formula unit
Energy   -2.03 eV/atom
ρ   9.29 g cm⁻³
Crystal system   tetragonal
Formation energy   0.106 eV/atom

Below is crystalline Cs2PmNp2Se6 at its relaxed geometry, with properties calculated at the GGA-PBE level.

Cell: 7.3409 12.7591 8.8947 Å, 90.00 105.63 90.00°
Space group C2/m (No. 12)
One atom of each set of equivalent atoms:
Cs 0.0000 0.1645 0.0000 x4
Pm 0.0000 0.0000 0.5000 x2
Np 0.0000 0.3338 0.5000 x4
Se 0.2171 0.5000 0.6824 x4
Se 0.2299 0.1716 0.6817 x8

Volume   36.5 Å³ per atom
Total magnetization   7.00 μB per formula unit
Energy   -6.25 eV/atom
ΔE_f (raw)   -1411 meV/atom
ρ   5.62 g cm⁻³
Crystal system   monoclinic

Below is crystalline Zr3PN at its relaxed geometry, with properties calculated at the GGA-PBE level.

Cell: 3.4671 11.0752 8.4639 Å, 90.00 90.00 90.00°
Space group Cmcm (No. 63)
One atom of each set of equivalent atoms:
Zr 0.0000 0.0645 0.2500 x4
Zr 0.0000 0.3657 0.0579 x8
P 0.0000 0.2552 0.7500 x4
N 0.0000 0.0000 0.0000 x4

Volume   16.3 Å³ per atom
Total magnetization   0.00 μB per formula unit
Energy   -9.27 eV/atom
ΔE_f (raw)   -1392 meV/atom
ρ   6.51 g cm⁻³
Crystal system   orthorhombic

Below is crystalline MgCdB2Te at its relaxed geometry, with properties calculated at the GGA-PBE level.

Cell: 4.4918 4.4918 5.8906 Å, 90.00 90.00 90.00°
Space group P4/mmm (No. 123)
One atom of each set of equivalent atoms:
Mg 0.0000 0.0000 0.0000 x1
Cd 0.5000 0.5000 0.0000 x1
B 0.0000 0.5000 0.5000 x2
Te 0.5000 0.5000 0.5000 x1

Volume   23.8 Å³ per atom
Total magnetization   0.00 μB per formula unit
Energy   -2.22 eV/atom
ΔE_f (raw)   1580 meV/atom
ρ   4.00 g cm⁻³
Crystal system   tetragonal

Below is crystalline CaYPb2S at its relaxed geometry, with properties calculated at the GGA-PBE level.

Cell: 5.6954 5.6954 5.0939 Å, 90.00 90.00 90.00°
Space group P4/mmm (No. 123)
One atom of each set of equivalent atoms:
Ca 0.0000 0.0000 0.0000 x1
Y 0.5000 0.5000 0.0000 x1
Pb 0.0000 0.5000 0.5000 x2
S 0.5000 0.5000 0.5000 x1

Volume   33.0 Å³ per atom
Total magnetization   0.00 μB per formula unit
Energy   -4.41 eV/atom
ΔE_f (raw)   -407 meV/atom
ρ   5.78 g cm⁻³
Crystal system   tetragonal

Below is crystalline Ni4Pd5 at its relaxed geometry, with properties calculated at the GGA-PBE level.

Cell: 8.0048 8.0048 3.8208 Å, 90.00 90.00 90.00°
Space group I4/mmm (No. 139)
One atom of each set of equivalent atoms:
Ni 0.0000 0.3465 0.0000 x8
Pd 0.0000 0.0000 0.0000 x2
Pd 0.1702 0.1702 0.5000 x8

Volume   13.6 Å³ per atom
Total magnetization   4.53 μB per formula unit
Energy   -5.41 eV/atom
ρ   10.40 g cm⁻³
Energy above the lowest structure with this stoichiometry   7 meV/atom
Crystal system   tetragonal
Formation energy   0.045 eV/atom

Below is crystalline Pm12Ho5Hg2 at its relaxed geometry, with properties calculated at the GGA-PBE level.

Cell: 15.4664 9.3110 8.5668 Å, 90.00 93.33 90.00°
Space group C2/m (No. 12)
One atom of each set of equivalent atoms:
Pm 0.0566 0.0000 0.3026 x4
Pm 0.0835 0.5000 0.8845 x4
Pm 0.1211 0.1927 0.6473 x8
Pm 0.1534 0.3166 0.2345 x8
Ho 0.0000 0.5000 0.5000 x2
Ho 0.1833 0.0000 0.9979 x4
Ho 0.2337 0.5000 0.5891 x4
Hg 0.0000 0.1895 0.0000 x4

Volume   32.4 Å³ per atom
Total magnetization   0.00 μB per formula unit
Energy   -4.23 eV/atom
ρ   8.00 g cm⁻³
Crystal system   monoclinic
Formation energy   0.009 eV/atom